1.
First-principles (PBE) data for crystalline CaBi2Ru at its relaxed geometry, as listed in Alexandria.

Properties
calculated formation energy = -39.7 meV per atom

```
4
Lattice="0.000 3.602 3.602 3.602 0.000 3.602 3.602 3.602 0.000" Properties=species:S:1:pos:R:3 pbc="T T T"
Ca 0.000 0.000 0.000
Bi 1.801 1.801 1.801
Bi 5.404 5.404 5.404
Ru 3.602 3.602 3.602
```

2.
First-principles (PBE) data for crystalline CaBi3Ru at its relaxed geometry, as listed in Alexandria.

Properties
energy above the most stable polymorph in this dataset = 0.000 eV per formula unit
calculated formation energy = 141.7 meV per atom

```
5
Lattice="5.378 0.000 0.000 0.000 5.378 0.000 0.000 0.000 5.378" Properties=species:S:1:pos:R:3 pbc="T T T"
Ca 0.000 0.000 0.000
Bi 0.000 2.689 2.689
Bi 2.689 0.000 2.689
Bi 2.689 2.689 0.000
Ru 2.689 2.689 2.689
```

3.
First-principles (PBE) data for crystalline Ca2SiBiRu at its relaxed geometry, as listed in Alexandria.

Properties
formation energy from raw total energies = 0.748 eV/atom

```
5
Lattice="5.458 0.000 0.000 0.000 5.458 0.000 0.000 0.000 5.342" Properties=species:S:1:pos:R:3 pbc="T T T"
Ca 0.000 2.729 0.000
Ca 2.729 0.000 0.000
Si 0.000 0.000 0.000
Bi 0.000 0.000 2.671
Ru 2.729 2.729 2.671
```

4.
First-principles (PBE) data for crystalline SrCaBiRu2 at its relaxed geometry, as listed in Alexandria.

Properties
calculated formation energy = 966.5 meV per atom

```
5
Lattice="5.132 0.000 0.000 0.000 5.132 0.000 0.000 0.000 5.814" Properties=species:S:1:pos:R:3 pbc="T T T"
Sr 0.000 0.000 0.000
Ca 2.566 2.566 0.000
Bi 0.000 0.000 2.907
Ru 0.000 2.566 2.907
Ru 2.566 0.000 2.907
```

Going through the records in order, we get volume values of 23.4 31.1 31.8 30.6 Å³/atom.